[1]
# CaIr2W (PBE, optimized geometry)
# - Volume: 18.54 Å³/atom
# - Final energy: -7.94 eV/atom
# - ΔH_f (0 K): 0.225 eV/atom
# - Relative energy among the computed polymorphs: 153 kJ/mol of formula units
# - N(E_F): 0.946 states/eV per atom
data_CaIr2W
_chemical_formula_sum 'Ca1 Ir2 W1'
_cell_length_a 2.798
_cell_length_b 4.200
_cell_length_c 6.313
_cell_angle_alpha 90.00
_cell_angle_beta 90.00
_cell_angle_gamma 90.00
_symmetry_space_group_name_H-M 'P m m 2'
_symmetry_Int_Tables_number 25
loop_
_symmetry_equiv_pos_as_xyz
'x,y,z'
'-x,-y,z'
'-x,y,z'
'x,-y,z'
loop_
_atom_site_label
_atom_site_fract_x
_atom_site_fract_y
_atom_site_fract_z
_atom_site_occupancy
Ca1 0.000 0.000 0.000 1
Ir1 0.000 0.000 0.499 1
Ir2 0.500 0.500 0.250 1
W1 0.500 0.500 0.640 1


[2]
# CaIr2W (PBE, optimized geometry)
# - Volume: 16.92 Å³/atom
# - Final energy: -8.12 eV/atom
# - ΔH_f (0 K): 0.053 eV/atom
# - Relative energy among the computed polymorphs: 86 kJ/mol of formula units
# - N(E_F): 1.057 states/eV per atom
data_CaIr2W
_chemical_formula_sum 'Ca1 Ir2 W1'
_cell_length_a 4.869
_cell_length_b 4.869
_cell_length_c 2.855
_cell_angle_alpha 90.00
_cell_angle_beta 90.00
_cell_angle_gamma 90.00
_symmetry_space_group_name_H-M 'P 4/m m m'
_symmetry_Int_Tables_number 123
_symmetry_space_group_name_Hall '-P 4 2'
loop_
_atom_site_label
_atom_site_fract_x
_atom_site_fract_y
_atom_site_fract_z
_atom_site_occupancy
Ca1 0.000 0.000 0.000 1
Ir1 0.000 0.500 0.500 1
W1 0.500 0.500 0.000 1


[3]
# CaIr2W (PBE, optimized geometry)
# - Volume: 17.35 Å³/atom
# - Final energy: -7.85 eV/atom
# - ΔH_f (0 K): 0.319 eV/atom
# - Relative energy among the computed polymorphs: 189 kJ/mol of formula units
# - N(E_F): 1.575 states/eV per atom
data_CaIr2W
_chemical_formula_sum 'Ca1 Ir2 W1'
_cell_length_a 2.791
_cell_length_b 2.791
_cell_length_c 8.910
_cell_angle_alpha 90.00
_cell_angle_beta 90.00
_cell_angle_gamma 90.00
_symmetry_space_group_name_H-M 'P 4 m m'
_symmetry_Int_Tables_number 99
loop_
_symmetry_equiv_pos_as_xyz
'x,y,z'
'-y,x,z'
'-x,-y,z'
'y,-x,z'
'-x,y,z'
'y,x,z'
'x,-y,z'
'-y,-x,z'
loop_
_atom_site_label
_atom_site_fract_x
_atom_site_fract_y
_atom_site_fract_z
_atom_site_occupancy
Ca1 0.000 0.000 0.000 1
Ir1 0.000 0.000 0.473 1
Ir2 0.500 0.500 0.261 1
W1 0.500 0.500 0.697 1


[4]
# CaIr2W (PBE, optimized geometry)
# - Volume: 19.18 Å³/atom
# - Final energy: -7.83 eV/atom
# - ΔH_f (0 K): 0.344 eV/atom
# - Relative energy among the computed polymorphs: 199 kJ/mol of formula units
# - N(E_F): 0.982 states/eV per atom
data_CaIr2W
_chemical_formula_sum 'Ca1 Ir2 W1'
_cell_length_a 3.344
_cell_length_b 3.344
_cell_length_c 6.861
_cell_angle_alpha 90.00
_cell_angle_beta 90.00
_cell_angle_gamma 90.00
_symmetry_space_group_name_H-M 'P 4 m m'
_symmetry_Int_Tables_number 99
loop_
_symmetry_equiv_pos_as_xyz
'x,y,z'
'-y,x,z'
'-x,-y,z'
'y,-x,z'
'-x,y,z'
'y,x,z'
'x,-y,z'
'-y,-x,z'
loop_
_atom_site_label
_atom_site_fract_x
_atom_site_fract_y
_atom_site_fract_z
_atom_site_occupancy
Ca1 0.000 0.000 0.000 1
Ir1 0.000 0.000 0.502 1
Ir2 0.500 0.500 0.266 1
W1 0.500 0.500 0.646 1


[5]
# Ca2IrW (PBE, optimized geometry)
# - Volume: 19.82 Å³/atom
# - Final energy: -5.85 eV/atom
# - ΔH_f (0 K): 0.603 eV/atom
# - Relative energy among the computed polymorphs: 214 kJ/mol of formula units
# - N(E_F): 1.175 states/eV per atom
data_Ca2IrW
_chemical_formula_sum 'Ca4 Ir2 W2'
_cell_length_a 4.006
_cell_length_b 4.006
_cell_length_c 9.879
_cell_angle_alpha 90.00
_cell_angle_beta 90.00
_cell_angle_gamma 90.00
_symmetry_space_group_name_H-M 'I 4/m m m'
_symmetry_Int_Tables_number 139
_symmetry_space_group_name_Hall '-I 4 2'
loop_
_atom_site_label
_atom_site_fract_x
_atom_site_fract_y
_atom_site_fract_z
_atom_site_occupancy
Ca1 0.000 0.500 0.250 1
Ir1 0.000 0.000 0.000 1
W1 0.000 0.000 0.500 1


[6]
# CaIr2W (PBE, optimized geometry)
# - Volume: 16.75 Å³/atom
# - Final energy: -8.15 eV/atom
# - ΔH_f (0 K): 0.023 eV/atom
# - Relative energy among the computed polymorphs: 75 kJ/mol of formula units
# - N(E_F): 0.677 states/eV per atom
data_CaIr2W
_chemical_formula_sum 'Ca2 Ir4 W2'
_cell_length_a 6.252
_cell_length_b 7.471
_cell_length_c 2.869
_cell_angle_alpha 90.00
_cell_angle_beta 90.00
_cell_angle_gamma 90.00
_symmetry_space_group_name_H-M 'C m m m'
_symmetry_Int_Tables_number 65
_symmetry_space_group_name_Hall '-C 2 2'
loop_
_atom_site_label
_atom_site_fract_x
_atom_site_fract_y
_atom_site_fract_z
_atom_site_occupancy
Ca1 0.000 0.000 0.000 1
Ir1 0.250 0.250 0.500 1
W1 0.000 0.500 0.000 1


[7]
# CaIr2W (PBE, optimized geometry)
# - Volume: 16.66 Å³/atom
# - Final energy: -7.65 eV/atom
# - ΔH_f (0 K): 0.520 eV/atom
# - Relative energy among the computed polymorphs: 267 kJ/mol of formula units
# - N(E_F): 1.903 states/eV per atom
data_CaIr2W
_chemical_formula_sum 'Ca4 Ir8 W4'
_cell_length_a 6.436
_cell_length_b 6.436
_cell_length_c 6.436
_cell_angle_alpha 90.00
_cell_angle_beta 90.00
_cell_angle_gamma 90.00
_symmetry_space_group_name_H-M 'F -4 3 m'
_symmetry_Int_Tables_number 216
_symmetry_space_group_name_Hall 'F -4 2 3'
loop_
_atom_site_label
_atom_site_fract_x
_atom_site_fract_y
_atom_site_fract_z
_atom_site_occupancy
Ca1 0.000 0.000 0.000 1
Ir1 0.000 0.000 0.500 1
Ir2 0.250 0.250 0.750 1
W1 0.250 0.250 0.250 1


[8]
# CaIr2W (PBE, optimized geometry)
# - Volume: 16.94 Å³/atom
# - Final energy: -7.86 eV/atom
# - ΔH_f (0 K): 0.308 eV/atom
# - Relative energy among the computed polymorphs: 185 kJ/mol of formula units
# - N(E_F): 0.847 states/eV per atom
data_CaIr2W
_chemical_formula_sum 'Ca2 Ir4 W2'
_cell_length_a 3.921
_cell_length_b 3.921
_cell_length_c 8.812
_cell_angle_alpha 90.00
_cell_angle_beta 90.00
_cell_angle_gamma 90.00
_symmetry_space_group_name_H-M 'I -4 m 2'
_symmetry_Int_Tables_number 119
_symmetry_space_group_name_Hall 'I -4 -2'
loop_
_atom_site_label
_atom_site_fract_x
_atom_site_fract_y
_atom_site_fract_z
_atom_site_occupancy
Ca1 0.000 0.000 0.000 1
Ir1 0.000 0.000 0.500 1
Ir2 0.000 0.500 0.750 1
W1 0.000 0.500 0.250 1